# GeTe3Ru

GeTe3Ru after structural relaxation (PBEsol, Alexandria).

Unit cell a=5.115 b=5.115 c=5.115 alpha=90.00 beta=90.00 gamma=90.00
Positions (direct):
Te 0.000 0.500 0.000
Te 0.500 0.000 0.000
Te 0.000 0.000 0.500
Ru 0.000 0.000 0.000
Ge 0.500 0.500 0.500

Properties
E_form (uncorrected): 2.96 eV per formula unit